A relaxed Ca2WAu crystal. Source: the Alexandria database, functional GGA-PBE.

VASP energy = -4.4299 eV per atom
Relative energy among the computed polymorphs = 331 meV per atom
DFT formation energy = 628.5 meV per atom

abc: 4.405 4.405 9.685
angles: 90.00 90.00 90.00
Space group I-4m2 (No. 119)
One atom of each set of equivalent atoms:
Ca  0.000  0.000  0.000 [2 per cell]
Ca  0.000  0.500  0.250 [2 per cell]
W  0.000  0.500  0.750 [2 per cell]
Au  0.000  0.000  0.500 [2 per cell]